1.
A relaxed CsMg2TiHg crystal. Source: the Alexandria database, functional GGA-PBE.

Geometry as POSCAR:
```
CsMg2TiHg
1.0
-2.655 4.289 -3.790
-4.081 0.338 3.241
2.907 4.610 3.180
Hg Mg Cs Ti
1 2 1 1
Direct
0.500 0.500 0.500
0.000 0.000 0.500
0.500 0.000 0.000
0.000 0.000 0.000
0.000 0.500 0.000
```

Summary:
**Volume**: 208 Å³/cell
**Magnetic moment**: 0.0000 μB/atom
**Energy relative to the elements**: 1.714 eV per atom
**Symmetry**: No. 123



2.
A relaxed CsMgTl2Hg crystal. Source: the Alexandria database, functional GGA-PBE.

Geometry as POSCAR:
```
CsMgTl2Hg
1.0
-2.777 -4.543 2.156
4.497 -1.142 3.387
-2.253 3.329 4.114
Tl Hg Cs Mg
2 1 1 1
Direct
0.000 0.500 0.000
0.500 0.000 0.000
0.000 0.000 0.500
0.500 0.500 0.500
0.000 0.000 0.000
```

Summary:
**Volume**: 190 Å³/cell
**Magnetic moment**: 0.0000 μB/atom
**Energy relative to the elements**: 0.009 eV per atom
**Symmetry**: No. 123